A geometry-optimized Na4SiSnAu2 structure. Source: OQMD, functional PBE.

- electronic total energy (eV per atom) = -2.811
- SG = No. 115

abc: 4.771 4.771 7.014
angles: 90.00 90.00 90.00
Fractional coordinates of all 8 atoms:
Au  0.500  0.000  0.230
Au  0.000  0.500  0.770
Na  0.500  0.500  0.000
Na  0.000  0.500  0.232
Na  0.000  0.000  0.500
Na  0.500  0.000  0.768
Si  0.000  0.000  0.000
Sn  0.500  0.500  0.500



A geometry-optimized Ho2Tc structure. Source: OQMD, functional PBE.

- electronic total energy (eV per atom) = -5.192
- calculated formation energy (eV/atom) = 1.312
- SG = No. 227
- E above lowest polymorph (eV per atom) = 0.227

abc: 8.091 8.091 8.091
angles: 60.00 60.00 60.00
Each line ends with the local moment (μB).
Fractional coordinates of all 6 atoms:
Ho  0.000  0.000  0.000  0.24
Ho  0.500  0.000  0.000  0.19
Ho  0.000  0.500  0.000  0.24
Ho  0.000  0.000  0.500  0.25
Tc  0.125  0.125  0.125  -0.05
Tc  0.875  0.875  0.875  -0.05



A geometry-optimized NaScReTc structure. Source: OQMD, functional PBE.

- electronic total energy (eV per atom) = -6.542
- SG = No. 216
- E above lowest polymorph (eV per atom) = 0.617

abc: 4.593 4.593 4.593
angles: 60.00 60.00 60.00
Fractional coordinates of all 4 atoms:
Na  0.750  0.750  0.750
Re  0.500  0.500  0.500
Sc  0.250  0.250  0.250
Tc  0.000  0.000  0.000



A geometry-optimized CuBTeOs structure. Source: OQMD, functional PBE.

- electronic total energy (eV per atom) = -4.935
- SG = No. 216
- E above lowest polymorph (eV per atom) = 0.173

abc: 4.329 4.329 4.329
angles: 60.00 60.00 60.00
Fractional coordinates of all 4 atoms:
B  0.250  0.250  0.250
Cu  0.750  0.750  0.750
Os  0.000  0.000  0.000
Te  0.500  0.500  0.500



A geometry-optimized GdI structure. Source: OQMD, functional PBE.

- electronic total energy (eV per atom) = -3.920
- SG = No. 187

abc: 3.842 3.842 4.647
angles: 90.00 90.00 120.00
Fractional coordinates of all 2 atoms:
Gd  0.667  0.333  0.750
I  0.333  0.667  0.250



A geometry-optimized LiTlFeTe structure. Source: OQMD, functional PBE.

- electronic total energy (eV per atom) = -3.810
- SG = No. 216
- E above lowest polymorph (eV per atom) = 0.000

abc: 4.861 4.861 4.861
angles: 60.00 60.00 60.00
Fractional coordinates of all 4 atoms:
Fe  0.250  0.250  0.250
Li  0.750  0.750  0.750
Te  0.000  0.000  0.000
Tl  0.500  0.500  0.500



A geometry-optimized LaTlHgS3 structure. Source: OQMD, functional PBE.

- electronic total energy (eV per atom) = -4.322
- SG = No. 62
- E above lowest polymorph (eV per atom) = 0.029

abc: 14.171 4.289 11.530
angles: 90.00 90.00 90.00
Fractional coordinates of all 24 atoms:
Hg  0.481  0.250  0.106
Hg  0.981  0.250  0.394
Hg  0.019  0.750  0.606
Hg  0.519  0.750  0.894
La  0.973  0.750  0.158
La  0.473  0.750  0.342
La  0.527  0.250  0.658
La  0.027  0.250  0.842
S  0.094  0.250  0.075
S  0.587  0.750  0.117
S  0.852  0.250  0.240
S  0.352  0.250  0.260
S  0.087  0.750  0.383
S  0.594  0.250  0.425
S  0.406  0.750  0.575
S  0.913  0.250  0.617
S  0.648  0.750  0.740
S  0.148  0.750  0.760
S  0.413  0.250  0.883
S  0.906  0.750  0.925
Tl  0.255  0.750  0.050
Tl  0.755  0.750  0.450
Tl  0.245  0.250  0.550
Tl  0.745  0.250  0.950



A geometry-optimized SrHo2 structure. Source: OQMD, functional PBE.

- electronic total energy (eV per atom) = -3.375
- SG = No. 227
- E above lowest polymorph (eV per atom) = 0.000

abc: 6.894 6.894 6.894
angles: 60.00 60.00 60.00
Fractional coordinates of all 6 atoms:
Ho  0.625  0.625  0.125
Ho  0.625  0.125  0.625
Ho  0.125  0.625  0.625
Ho  0.625  0.625  0.625
Sr  0.000  0.000  0.000
Sr  0.250  0.250  0.250



A geometry-optimized LuBiPO structure. Source: OQMD, functional PBE.

- electronic total energy (eV per atom) = -5.731
- SG = No. 123
- E above lowest polymorph (eV per atom) = 0.299

abc: 5.402 5.402 5.394
angles: 90.00 90.00 90.00
Fractional coordinates of all 8 atoms:
Bi  0.000  0.500  0.000
Bi  0.500  0.000  0.000
Lu  0.000  0.000  0.500
Lu  0.500  0.500  0.500
O  0.000  0.000  0.000
O  0.500  0.500  0.000
P  0.500  0.000  0.500
P  0.000  0.500  0.500



A geometry-optimized YBeTcW structure. Source: OQMD, functional PBE.

- electronic total energy (eV per atom) = -7.569
- SG = No. 216
- E above lowest polymorph (eV per atom) = 0.535

abc: 4.506 4.506 4.506
angles: 60.00 60.00 60.00
Fractional coordinates of all 4 atoms:
Be  0.750  0.750  0.750
Tc  0.000  0.000  0.000
W  0.500  0.500  0.500
Y  0.250  0.250  0.250



A geometry-optimized HfAgOs2 structure. Source: OQMD, functional PBE.

- electronic total energy (eV per atom) = -8.466
- calculated formation energy (eV/atom) = 0.342
- SG = No. 216

abc: 4.542 4.542 4.542
angles: 60.00 60.00 60.00
Fractional coordinates of all 4 atoms:
Ag  0.500  0.500  0.500
Hf  0.750  0.750  0.750
Os  0.000  0.000  0.000
Os  0.250  0.250  0.250



A geometry-optimized HoInFeTe3 structure. Source: OQMD, functional PBE.

- electronic total energy (eV per atom) = -4.740
- SG = No. 63
- E above lowest polymorph (eV per atom) = 0.000

abc: 4.244 8.033 11.190
angles: 90.00 90.00 74.68
Each line ends with the local moment (μB).
Fractional coordinates of all 12 atoms:
Fe  0.527  0.945  0.250  3.10
Fe  0.473  0.055  0.750  3.10
Ho  0.000  0.000  0.000  0.02
Ho  0.000  0.000  0.500  0.02
In  0.242  0.516  0.250  0.02
In  0.758  0.484  0.750  0.02
Te  0.634  0.732  0.068  0.08
Te  0.922  0.157  0.250  0.10
Te  0.634  0.732  0.432  0.08
Te  0.366  0.268  0.568  0.08
Te  0.078  0.843  0.750  0.10
Te  0.366  0.268  0.932  0.08



A geometry-optimized NbFeNi2 structure. Source: OQMD, functional PBE.

- electronic total energy (eV per atom) = -7.417
- calculated formation energy (eV/atom) = -0.032
- SG = No. 216

abc: 4.150 4.150 4.150
angles: 60.00 60.00 60.00
Fractional coordinates of all 4 atoms:
Fe  0.250  0.250  0.250
Nb  0.500  0.500  0.500
Ni  0.000  0.000  0.000
Ni  0.750  0.750  0.750



A geometry-optimized Nd5Si2Pb structure. Source: OQMD, functional PBE.

- electronic total energy (eV per atom) = -5.387
- SG = No. 140

abc: 9.223 9.223 9.223
angles: 128.99 128.99 75.02
Each line ends with the local moment (μB).
Fractional coordinates of all 16 atoms:
Nd  0.000  0.000  0.000  0.26
Nd  0.500  0.500  0.000  0.25
Nd  0.190  0.690  0.155  0.07
Nd  0.465  0.965  0.155  0.08
Nd  0.035  0.190  0.500  0.08
Nd  0.310  0.465  0.500  0.07
Nd  0.690  0.535  0.500  0.07
Nd  0.965  0.810  0.500  0.08
Nd  0.535  0.035  0.845  0.08
Nd  0.810  0.310  0.845  0.07
Pb  0.250  0.250  0.000  -0.01
Pb  0.750  0.750  0.000  -0.01
Si  0.880  0.380  0.259  -0.01
Si  0.380  0.120  0.500  -0.01
Si  0.620  0.880  0.500  -0.01
Si  0.120  0.620  0.741  -0.01



A geometry-optimized In2HgBi2 structure. Source: OQMD, functional PBE.

- electronic total energy (eV per atom) = -2.700
- SG = No. 139

abc: 4.920 4.920 7.730
angles: 108.56 108.56 90.00
Fractional coordinates of all 5 atoms:
Bi  0.619  0.619  0.237
Bi  0.381  0.381  0.763
Hg  0.000  0.000  0.000
In  0.750  0.250  0.500
In  0.250  0.750  0.500



A geometry-optimized GdSnTeO structure. Source: OQMD, functional PBE.

- electronic total energy (eV per atom) = -5.328
- SG = No. 166
- E above lowest polymorph (eV per atom) = 0.000

abc: 5.087 5.087 10.650
angles: 76.18 103.82 120.00
Fractional coordinates of all 8 atoms:
Gd  0.767  0.233  0.300
Gd  0.233  0.767  0.700
O  0.697  0.303  0.092
O  0.303  0.697  0.908
Sn  0.370  0.630  0.111
Sn  0.630  0.370  0.889
Te  0.122  0.878  0.367
Te  0.878  0.122  0.633



A geometry-optimized LuNbCo structure. Source: OQMD, functional PBE.

- electronic total energy (eV per atom) = -6.469
- calculated formation energy (eV/atom) = 0.772
- SG = No. 216

abc: 4.367 4.367 4.367
angles: 60.00 60.00 60.00
Fractional coordinates of all 3 atoms:
Co  0.250  0.250  0.250
Lu  0.750  0.750  0.750
Nb  0.000  0.000  0.000



A geometry-optimized CsTl4Pt structure. Source: OQMD, functional PBE.

- electronic total energy (eV per atom) = -2.853
- SG = No. 51

abc: 9.769 4.059 9.713
angles: 90.00 90.00 90.00
Fractional coordinates of all 12 atoms:
Cs  0.250  0.000  0.079
Cs  0.750  0.000  0.921
Pt  0.750  0.000  0.349
Pt  0.250  0.000  0.651
Tl  0.572  0.500  0.225
Tl  0.928  0.500  0.225
Tl  0.250  0.500  0.414
Tl  0.000  0.000  0.500
Tl  0.500  0.000  0.500
Tl  0.750  0.500  0.586
Tl  0.072  0.500  0.775
Tl  0.428  0.500  0.775



A geometry-optimized NdZrGe structure. Source: OQMD, functional PBE.

- electronic total energy (eV per atom) = -5.590
- SG = No. 216

abc: 4.885 4.885 4.885
angles: 60.00 60.00 60.00
Each line ends with the local moment (μB).
Fractional coordinates of all 3 atoms:
Ge  0.250  0.250  0.250  -0.05
Nd  0.750  0.750  0.750  0.60
Zr  0.000  0.000  0.000  1.18



A geometry-optimized CsLiPdW structure. Source: OQMD, functional PBE.

- electronic total energy (eV per atom) = -3.553
- SG = No. 216
- E above lowest polymorph (eV per atom) = 0.327

abc: 5.084 5.084 5.084
angles: 60.00 60.00 60.00
Fractional coordinates of all 4 atoms:
Cs  0.250  0.250  0.250
Li  0.750  0.750  0.750
Pd  0.500  0.500  0.500
W  0.000  0.000  0.000



A geometry-optimized TaICl4 structure. Source: OQMD, functional PBE.

- electronic total energy (eV per atom) = -4.615
- SG = No. 2
- E above lowest polymorph (eV per atom) = 0.005

abc: 6.693 7.207 9.657
angles: 109.36 90.31 113.79
Fractional coordinates of all 12 atoms:
Cl  0.787  0.840  0.047
Cl  0.882  0.360  0.144
Cl  0.284  0.008  0.235
Cl  0.934  0.183  0.415
Cl  0.066  0.817  0.585
Cl  0.716  0.992  0.765
Cl  0.118  0.640  0.856
Cl  0.213  0.160  0.953
I  0.449  0.587  0.327
I  0.551  0.413  0.673
Ta  0.097  0.209  0.211
Ta  0.903  0.791  0.789



A geometry-optimized LiCu2As structure. Source: OQMD, functional PBE.

- electronic total energy (eV per atom) = -3.520
- SG = No. 221

abc: 5.978 5.978 5.978
angles: 90.00 90.00 90.00
Fractional coordinates of all 16 atoms:
As  0.000  0.000  0.000
As  0.500  0.000  0.000
As  0.000  0.500  0.000
As  0.000  0.000  0.500
Cu  0.261  0.261  0.261
Cu  0.739  0.261  0.261
Cu  0.261  0.739  0.261
Cu  0.739  0.739  0.261
Cu  0.261  0.261  0.739
Cu  0.739  0.261  0.739
Cu  0.261  0.739  0.739
Cu  0.739  0.739  0.739
Li  0.500  0.500  0.000
Li  0.500  0.000  0.500
Li  0.000  0.500  0.500
Li  0.500  0.500  0.500



A geometry-optimized Pr3FeN2 structure. Source: OQMD, functional PBE.

- electronic total energy (eV per atom) = -6.833
- SG = No. 115

abc: 3.702 3.702 8.983
angles: 90.00 90.00 90.00
Each line ends with the local moment (μB).
Fractional coordinates of all 6 atoms:
Fe  0.000  0.000  0.000  1.74
N  0.500  0.000  0.378  0.02
N  0.000  0.500  0.622  0.02
Pr  0.500  0.500  0.000  -0.25
Pr  0.000  0.500  0.360  -0.01
Pr  0.500  0.000  0.640  -0.01



A geometry-optimized HoMgAu2 structure. Source: OQMD, functional PBE.

- electronic total energy (eV per atom) = -3.952
- SG = No. 225

abc: 4.866 4.866 6.882
angles: 90.00 90.00 90.00
Fractional coordinates of all 8 atoms:
Au  0.500  0.000  0.250
Au  0.000  0.500  0.250
Au  0.500  0.000  0.750
Au  0.000  0.500  0.750
Ho  0.000  0.000  0.000
Ho  0.500  0.500  0.500
Mg  0.500  0.500  0.000
Mg  0.000  0.000  0.500



A geometry-optimized La2ThAg structure. Source: OQMD, functional PBE.

- electronic total energy (eV per atom) = -5.162
- calculated formation energy (eV/atom) = -0.142
- SG = No. 123

abc: 3.700 3.700 8.875
angles: 90.00 90.00 90.00
Fractional coordinates of all 4 atoms:
Ag  0.000  0.000  0.000
La  0.500  0.500  0.229
La  0.500  0.500  0.771
Th  0.000  0.000  0.500